DFT (PBE) results for Cd4Ag after structural relaxation.

The structure in extended XYZ format:
```
5
Lattice="4.471 1.047 -3.078 1.412 -0.047 5.345 -2.087 -4.924 -1.398" Properties=species:S:1:pos:R:3 pbc="T T T"
Cd 1.898 -1.962 0.434
Cd 2.236 0.524 -1.539
Ag 0.000 0.000 0.000
Cd 0.706 -0.023 2.672
Cd -1.044 -2.462 -0.699
```

Results
Size of the total moment ... 0.00 μB/f.u.
Space-group type ... No. 229
Relative energy among the computed polymorphs ... 106 meV per atom
DOS(E_F) ... 2.93 states/eV per cell
Uncorrected energy ... -1.198 eV/atom